[1]
The following is a PBE calculation of a relaxed structure of CaLaSc, from the Alexandria database.

a b c (Å): 7.808 7.808 7.808
angles (deg): 90.00 90.00 90.00
Atoms (fractional coordinates):
Ca 0.000 0.000 0.000
Ca 0.000 0.500 0.500
Ca 0.500 0.000 0.500
Ca 0.500 0.500 0.000
La 0.000 0.000 0.500
La 0.000 0.500 0.000
La 0.500 0.000 0.000
La 0.500 0.500 0.500
Sc 0.250 0.250 0.750
Sc 0.250 0.750 0.250
Sc 0.750 0.250 0.250
Sc 0.750 0.750 0.750

Output
- excess energy over the best structure of this formula in the dataset (meV/atom) = 575
- space-group type = F-43m (216)
- M_tot (μB/cell) = 0.0
- formation energy (eV per atom) = 0.69

=====

[2]
The following is a PBE calculation of a relaxed structure of KReBO6, from the Alexandria database.

a b c (Å): 5.502 5.550 5.956
angles (deg): 96.82 102.72 107.29
Atoms (fractional coordinates):
K 0.000 0.000 0.000
Re 0.224 0.539 0.542
B 0.720 0.449 0.436
O 0.129 0.643 0.257
O 0.171 0.284 0.692
O 0.451 0.808 0.738
O 0.455 0.405 0.393
O 0.822 0.306 0.294
O 0.913 0.629 0.618

Output
- ΔE_f (raw) (eV/atom) = -1.635
- space-group type = P1 (1)
- M_tot (μB/cell) = 1.0

=====

[3]
The following is a PBE calculation of a relaxed structure of Pr2HgPt9, from the Alexandria database.

a b c (Å): 9.424 9.424 9.424
angles (deg): 33.83 33.83 33.83
Atoms (fractional coordinates):
Pr 0.135 0.135 0.135
Pr 0.865 0.865 0.865
Hg 0.000 0.000 0.000
Pt 0.080 0.586 0.586
Pt 0.332 0.332 0.332
Pt 0.414 0.414 0.920
Pt 0.414 0.920 0.414
Pt 0.500 0.500 0.500
Pt 0.586 0.080 0.586
Pt 0.586 0.586 0.080
Pt 0.668 0.668 0.668
Pt 0.920 0.414 0.414

Output
- space-group type = R-3m (166)
- M_tot (μB/cell) = 0.0
- formation energy (eV per atom) = -0.58

=====

[4]
The following is a PBE calculation of a relaxed structure of Cs2ScSe2, from the Alexandria database.

a b c (Å): 8.968 8.968 8.968
angles (deg): 127.19 71.81 135.06
Atoms (fractional coordinates):
Cs 0.151 0.152 0.303
Cs 0.349 0.652 0.002
Cs 0.651 0.348 0.998
Cs 0.849 0.848 0.697
Sc 0.250 0.750 0.500
Sc 0.750 0.250 0.500
Se 0.098 0.686 0.783
Se 0.402 0.186 0.588
Se 0.598 0.814 0.412
Se 0.902 0.314 0.217

Output
- ΔE_f (raw) (eV/atom) = -1.257
- space-group type = Ibam (72)
- M_tot (μB/cell) = 2.0